No. 1
Computed, not measured: a relaxed structure of HoMn3Ge2 at the PBE-GGA level of DFT.

Properties
crystal system: monoclinic
space-group type: C2/m (12)
calculated formation energy: -0.345 eV per atom

Cell: 7.557 7.557 7.303 Å, 114.66 114.66 30.11°
Sites, in units of the cell vectors:
1 Ho 0.143 0.143 0.061
2 Ho 0.857 0.857 0.939
3 Mn 0.046 0.046 0.399
4 Mn 0.305 0.305 0.523
5 Mn 0.417 0.417 0.372
6 Mn 0.583 0.583 0.628
7 Mn 0.695 0.695 0.477
8 Mn 0.954 0.954 0.601
9 Ge 0.201 0.201 0.716
10 Ge 0.478 0.478 0.812
11 Ge 0.522 0.522 0.188
12 Ge 0.799 0.799 0.284

=====

No. 2
Computed, not measured: a relaxed structure of HoMn2Ge2 at the PBE-GGA level of DFT.

Properties
crystal system: tetragonal
space-group type: I4/mmm (139)
calculated formation energy: -0.474 eV per atom

Cell: 6.077 6.077 6.077 Å, 142.31 142.31 54.36°
Sites, in units of the cell vectors:
1 Ho 0.000 0.000 0.000
2 Mn 0.250 0.750 0.500
3 Mn 0.750 0.250 0.500
4 Ge 0.381 0.381 0.000
5 Ge 0.619 0.619 0.000

=====

No. 3
Computed, not measured: a relaxed structure of HoMnGe at the PBE-GGA level of DFT.

Properties
crystal system: hexagonal
space-group type: P-6m2 (187)
calculated formation energy: -0.383 eV per atom

Cell: 4.310 4.310 3.733 Å, 90.00 90.00 120.00°
Sites, in units of the cell vectors:
1 Ho 0.000 0.000 0.000
2 Mn 0.333 0.667 0.500
3 Ge 0.667 0.333 0.500

=====

No. 4
Computed, not measured: a relaxed structure of HoMnGe at the PBE-GGA level of DFT.

Properties
crystal system: orthorhombic
space-group type: Pnma (62)
calculated formation energy: -0.496 eV per atom

Cell: 7.022 4.084 7.910 Å, 90.00 90.00 90.00°
Sites, in units of the cell vectors:
1 Ho 0.024 0.250 0.182
2 Ho 0.476 0.750 0.682
3 Ho 0.524 0.250 0.318
4 Ho 0.976 0.750 0.818
5 Mn 0.133 0.250 0.555
6 Mn 0.367 0.750 0.055
7 Mn 0.633 0.250 0.945
8 Mn 0.867 0.750 0.445
9 Ge 0.226 0.750 0.381
10 Ge 0.274 0.250 0.881
11 Ge 0.726 0.750 0.119
12 Ge 0.774 0.250 0.619

=====

No. 5
Computed, not measured: a relaxed structure of Ho2Mn2Ge2N at the PBE-GGA level of DFT.

Properties
crystal system: tetragonal
energy relative to the elements, uncorrected: -681 meV per atom
space-group type: I4/mmm (139)

Cell: 7.806 7.806 7.806 Å, 149.90 149.90 43.09°
Sites, in units of the cell vectors:
1 Ho 0.162 0.162 0.000
2 Ho 0.838 0.838 0.000
3 Mn 0.000 0.500 0.500
4 Mn 0.500 0.000 0.500
5 Ge 0.375 0.375 0.000
6 Ge 0.625 0.625 0.000
7 N 0.000 0.000 0.000

=====

No. 6
Computed, not measured: a relaxed structure of Ho2MnNi3Ge4 at the PBE-GGA level of DFT.

Properties
crystal system: tetragonal
space-group type: P-4m2 (115)
calculated formation energy: -0.620 eV per atom

Cell: 4.031 4.031 10.041 Å, 90.00 90.00 90.00°
Sites, in units of the cell vectors:
1 Ho 0.000 0.500 0.245
2 Ho 0.500 0.000 0.755
3 Mn 0.000 0.000 0.500
4 Ni 0.000 0.500 0.873
5 Ni 0.500 0.000 0.127
6 Ni 0.500 0.500 0.500
7 Ge 0.000 0.000 0.000
8 Ge 0.000 0.500 0.639
9 Ge 0.500 0.000 0.361
10 Ge 0.500 0.500 0.000

=====

No. 7
Computed, not measured: a relaxed structure of HoMnNiGe2 at the PBE-GGA level of DFT.

Properties
crystal system: tetragonal
space-group type: I-4m2 (119)
calculated formation energy: -0.549 eV per atom

Cell: 5.895 5.895 5.895 Å, 139.93 139.93 57.97°
Sites, in units of the cell vectors:
1 Ho 0.000 0.000 0.000
2 Mn 0.750 0.250 0.500
3 Ni 0.250 0.750 0.500
4 Ge 0.379 0.379 0.000
5 Ge 0.621 0.621 0.000

=====

No. 8
Computed, not measured: a relaxed structure of HoMnGe2Os at the PBE-GGA level of DFT.

Properties
crystal system: tetragonal
space-group type: I-4m2 (119)
calculated formation energy: -0.464 eV per atom

Cell: 6.052 6.052 6.052 Å, 141.01 141.01 56.32°
Sites, in units of the cell vectors:
1 Ho 0.000 0.000 0.000
2 Mn 0.250 0.750 0.500
3 Ge 0.382 0.382 0.000
4 Ge 0.618 0.618 0.000
5 Os 0.750 0.250 0.500

=====

No. 9
Computed, not measured: a relaxed structure of Ho2MnGe3Pt4 at the PBE-GGA level of DFT.

Properties
crystal system: tetragonal
space-group type: P-4m2 (115)
calculated formation energy: -0.816 eV per atom

Cell: 4.077 4.077 11.099 Å, 90.00 90.00 90.00°
Sites, in units of the cell vectors:
1 Ho 0.000 0.500 0.247
2 Ho 0.500 0.000 0.753
3 Mn 0.000 0.000 0.500
4 Ge 0.000 0.500 0.862
5 Ge 0.500 0.000 0.138
6 Ge 0.500 0.500 0.500
7 Pt 0.000 0.000 0.000
8 Pt 0.000 0.500 0.644
9 Pt 0.500 0.000 0.356
10 Pt 0.500 0.500 0.000

=====

No. 10
Computed, not measured: a relaxed structure of Ho2MnGePt6 at the PBE-GGA level of DFT.

Properties
crystal system: trigonal
space-group type: R-3m (166)
calculated formation energy: -0.739 eV per atom

Cell: 8.377 8.377 8.377 Å, 38.75 38.75 38.75°
Sites, in units of the cell vectors:
1 Ho 0.201 0.201 0.201
2 Ho 0.799 0.799 0.799
3 Mn 0.500 0.500 0.500
4 Ge 0.000 0.000 0.000
5 Pt 0.251 0.251 0.748
6 Pt 0.251 0.748 0.251
7 Pt 0.252 0.749 0.749
8 Pt 0.748 0.251 0.251
9 Pt 0.749 0.252 0.749
10 Pt 0.749 0.749 0.252

=====

No. 11
Computed, not measured: a relaxed structure of Ho2MnGe4Pt3 at the PBE-GGA level of DFT.

Properties
crystal system: tetragonal
space-group type: P-4m2 (115)
calculated formation energy: -0.782 eV per atom

Cell: 4.094 4.094 10.990 Å, 90.00 90.00 90.00°
Sites, in units of the cell vectors:
1 Ho 0.000 0.500 0.242
2 Ho 0.500 0.000 0.758
3 Mn 0.500 0.500 0.000
4 Ge 0.000 0.000 0.500
5 Ge 0.000 0.500 0.864
6 Ge 0.500 0.000 0.136
7 Ge 0.500 0.500 0.500
8 Pt 0.000 0.000 0.000
9 Pt 0.000 0.500 0.641
10 Pt 0.500 0.000 0.359

=====

No. 12
Computed, not measured: a relaxed structure of HoMnGe2Rh at the PBE-GGA level of DFT.

Properties
crystal system: tetragonal
space-group type: I-4m2 (119)
calculated formation energy: -0.664 eV per atom

Cell: 6.040 6.040 6.040 Å, 140.82 140.82 56.61°
Sites, in units of the cell vectors:
1 Ho 0.000 0.000 0.000
2 Mn 0.250 0.750 0.500
3 Ge 0.384 0.384 0.000
4 Ge 0.616 0.616 0.000
5 Rh 0.750 0.250 0.500

=====

No. 13
Computed, not measured: a relaxed structure of HoMnGe2Ru at the PBE-GGA level of DFT.

Properties
crystal system: tetragonal
space-group type: I-4m2 (119)
calculated formation energy: -0.578 eV per atom

Cell: 6.049 6.049 6.049 Å, 141.03 141.03 56.29°
Sites, in units of the cell vectors:
1 Ho 0.000 0.000 0.000
2 Mn 0.750 0.250 0.500
3 Ge 0.381 0.381 0.000
4 Ge 0.619 0.619 0.000
5 Ru 0.250 0.750 0.500

=====

No. 14
Computed, not measured: a relaxed structure of HoMn6Sn4Ge2 at the PBE-GGA level of DFT.

Properties
crystal system: hexagonal
space-group type: P6/mmm (191)
calculated formation energy: -0.220 eV per atom

Cell: 5.340 5.340 8.689 Å, 90.00 90.00 120.00°
Sites, in units of the cell vectors:
1 Ho 0.000 0.000 0.000
2 Mn 0.000 0.500 0.233
3 Mn 0.000 0.500 0.767
4 Mn 0.500 0.000 0.233
5 Mn 0.500 0.000 0.767
6 Mn 0.500 0.500 0.233
7 Mn 0.500 0.500 0.767
8 Sn 0.000 0.000 0.334
9 Sn 0.000 0.000 0.666
10 Sn 0.333 0.667 0.500
11 Sn 0.667 0.333 0.500
12 Ge 0.333 0.667 0.000
13 Ge 0.667 0.333 0.000

=====

No. 15
Computed, not measured: a relaxed structure of HoMnTcGe2 at the PBE-GGA level of DFT.

Properties
crystal system: tetragonal
space-group type: I-4m2 (119)
calculated formation energy: -0.469 eV per atom

Cell: 6.137 6.137 6.137 Å, 141.71 141.71 55.26°
Sites, in units of the cell vectors:
1 Ho 0.000 0.000 0.000
2 Mn 0.250 0.750 0.500
3 Tc 0.750 0.250 0.500
4 Ge 0.384 0.384 0.000
5 Ge 0.616 0.616 0.000

=====

No. 16
Computed, not measured: a relaxed structure of HoMnTcGe3 at the PBE-GGA level of DFT.

Properties
crystal system: orthorhombic
space-group type: Cmcm (63)
calculated formation energy: -0.098 eV per atom

Cell: 6.625 6.625 5.626 Å, 90.00 90.00 107.70°
Sites, in units of the cell vectors:
1 Ho 0.244 0.756 0.750
2 Ho 0.756 0.244 0.250
3 Mn 0.034 0.966 0.250
4 Mn 0.966 0.034 0.750
5 Tc 0.457 0.543 0.250
6 Tc 0.543 0.457 0.750
7 Ge 0.240 0.760 0.250
8 Ge 0.241 0.241 0.000
9 Ge 0.241 0.241 0.500
10 Ge 0.759 0.759 0.000
11 Ge 0.759 0.759 0.500
12 Ge 0.760 0.240 0.750

=====

No. 17
Computed, not measured: a relaxed structure of HoMnVGe2 at the PBE-GGA level of DFT.

Properties
crystal system: tetragonal
space-group type: I-4m2 (119)
calculated formation energy: -0.480 eV per atom

Cell: 6.199 6.199 6.199 Å, 142.82 142.82 53.60°
Sites, in units of the cell vectors:
1 Ho 0.000 0.000 0.000
2 Mn 0.250 0.750 0.500
3 V 0.750 0.250 0.500
4 Ge 0.386 0.386 0.000
5 Ge 0.614 0.614 0.000